Record 1
Density functional theory data (PBE) for a relaxed Ho6ZnBi2 crystal.

Summary:
As for the density of states at the Fermi level: 16.250 states/eV/cell. For the formation energy, the calculation gives -380 meV per atom. The symmetry is P2_1/c. As for the total energy: -79.85 eV for the cell shown. For the spin magnetization, the calculation gives 0.00 μB/f.u.

Structure (POSCAR):
```
Ho6ZnBi2
1.0
6.321 0.000 0.318
0.000 8.162 0.000
-0.348 0.000 10.129
Ho Zn Bi
12 2 4
Direct
0.858 0.962 0.238
0.867 0.666 0.536
0.877 0.703 0.957
0.623 0.203 0.543
0.633 0.166 0.964
0.642 0.462 0.262
0.142 0.038 0.762
0.133 0.334 0.464
0.123 0.297 0.043
0.377 0.797 0.457
0.367 0.834 0.036
0.358 0.538 0.738
0.500 0.500 0.000
0.000 0.000 0.500
0.890 0.390 0.762
0.610 0.890 0.738
0.390 0.110 0.262
0.110 0.610 0.238
```

Record 2
Density functional theory data (PBE) for a relaxed AlTcH2 crystal.

Summary:
As for the density of states at the Fermi level: 0.877 states/eV/cell. The symmetry is R-3m. As for the total energy: -20.67 eV for the cell shown. The calculation puts the energy above the lowest structure with this stoichiometry at 0.0 meV per atom. For the spin magnetization, the calculation gives 0.00 μB/f.u.

Structure (POSCAR):
```
AlTcH2
1.0
3.056 0.000 0.000
1.528 2.647 0.000
1.528 0.882 4.332
H Tc Al
2 1 1
Direct
0.129 0.129 0.613
0.871 0.871 0.387
0.000 0.000 0.000
0.500 0.500 0.500
```

Record 3
Density functional theory data (PBE) for a relaxed BaGeO2 crystal.

Summary:
As for the density of states at the Fermi level: 0.004 states/eV/cell. For the uncorrected formation energy, the calculation gives -1.576 eV per atom. The symmetry is R-3m. As for the total energy: -22.76 eV for the cell shown. For the spin magnetization, the calculation gives 0.00 μB/f.u.

Structure (POSCAR):
```
BaGeO2
1.0
-5.381 2.273 3.677
-2.144 4.192 5.047
-3.925 5.423 1.679
Ge Ba O
1 1 2
Direct
0.000 0.000 0.000
0.500 0.500 0.500
0.905 0.905 0.905
0.095 0.095 0.095
```

Record 4
Density functional theory data (PBE) for a relaxed Y3P crystal.

Summary:
As for the density of states at the Fermi level: 3.523 states/eV/cell. For the formation energy, the calculation gives -607 meV per atom. The symmetry is Imm2. As for the total energy: -27.23 eV for the cell shown. The calculation puts the energy above the lowest structure with this stoichiometry at 98.2 meV per atom. For the spin magnetization, the calculation gives 0.00 μB/f.u.

Structure (POSCAR):
```
Y3P
1.0
-1.861 3.132 4.786
1.861 -3.132 4.786
1.861 3.132 -4.786
Y P
3 1
Direct
0.385 0.500 0.885
0.047 0.689 0.358
0.668 0.311 0.358
0.066 0.000 0.066
```

Record 5
Density functional theory data (PBE) for a relaxed TlSBr3 crystal.

Summary:
As for the density of states at the Fermi level: 4.276 states/eV/cell. For the uncorrected formation energy, the calculation gives 0.293 eV per atom. The symmetry is Pm-3m. As for the total energy: -10.05 eV for the cell shown. The calculation puts the energy above the lowest structure with this stoichiometry at 507.4 meV per atom. For the spin magnetization, the calculation gives 2.47 μB/f.u.

Structure (POSCAR):
```
TlSBr3
1.0
-2.757 -4.606 -1.737
4.621 -1.736 -2.732
1.696 -2.758 4.621
Tl S Br
1 1 3
Direct
0.000 0.000 0.000
0.500 0.500 0.500
0.000 0.500 0.000
0.000 0.000 0.500
0.500 0.000 0.000
```

Record 6
Density functional theory data (PBE) for a relaxed AgB2S crystal.

Summary:
As for the density of states at the Fermi level: 4.978 states/eV/cell. For the uncorrected formation energy, the calculation gives 0.777 eV per atom. The symmetry is I-42d. As for the total energy: -34.45 eV for the cell shown. For the spin magnetization, the calculation gives 0.00 μB/f.u.

Structure (POSCAR):
```
AgB2S
1.0
-1.323 -4.286 2.327
4.871 -1.281 0.412
1.969 -0.874 4.998
S B Ag
2 4 2
Direct
0.500 0.500 0.000
0.250 0.750 0.500
0.575 0.125 0.250
0.175 0.625 0.250
0.375 0.425 0.750
0.875 0.825 0.750
0.000 0.000 0.000
0.750 0.250 0.500
```

Record 7
Density functional theory data (PBE) for a relaxed MoOsBr2 crystal.

Summary:
As for the density of states at the Fermi level: 4.654 states/eV/cell. For the uncorrected formation energy, the calculation gives 1.253 eV per atom. The symmetry is Pmmm. As for the total energy: -20.39 eV for the cell shown. The calculation puts the energy above the lowest structure with this stoichiometry at 1078.3 meV per atom. For the spin magnetization, the calculation gives 1.60 μB/f.u.

Structure (POSCAR):
```
MoOsBr2
1.0
2.981 0.000 0.000
0.000 5.542 0.000
0.000 0.000 4.461
Mo Os Br
1 1 2
Direct
0.500 0.000 0.500
0.000 0.500 0.500
0.000 0.000 0.000
0.500 0.500 0.000
```

Record 8
Density functional theory data (PBE) for a relaxed Fe4SiAg crystal.

Summary:
As for the density of states at the Fermi level: 5.253 states/eV/cell. For the uncorrected formation energy, the calculation gives 0.286 eV per atom. The symmetry is F-43m. As for the total energy: -40.41 eV for the cell shown. For the spin magnetization, the calculation gives 8.91 μB/f.u.

Structure (POSCAR):
```
Fe4SiAg
1.0
0.000 3.400 3.400
3.400 0.000 3.400
3.400 3.400 0.000
Fe Si Ag
4 1 1
Direct
0.873 0.376 0.376
0.376 0.376 0.873
0.376 0.873 0.376
0.376 0.376 0.376
0.750 0.750 0.750
0.000 0.000 0.000
```